A relaxed structure of CaLaTl3. Source: Alexandria, functional PBE-GGA.

Computed properties:
Calculated formation energy = 0.20 eV per atom
Crystal system = cubic
Energy above the most stable polymorph in this dataset = 0.0 meV per atom

a = 5.6400 Å, b = 5.6400 Å, c = 5.6400 Å
α = 90.00°, β = 90.00°, γ = 90.00°
Space group Pm-3m (No. 221)
Unique sites:
Ca: 0.0000 0.0000 0.0000 (multiplicity 1)
La: 0.5000 0.5000 0.5000 (multiplicity 1)
Tl: 0.0000 0.0000 0.5000 (multiplicity 3)

A relaxed structure of Ti6HgO. Source: Alexandria, functional PBE-GGA.

Computed properties:
Raw formation energy = -0.65 eV/atom
Crystal system = triclinic

a = 4.7831 Å, b = 5.4095 Å, c = 5.4704 Å
α = 81.60°, β = 66.68°, γ = 89.33°
Space group P-1 (No. 2)
Unique sites:
Ti: 0.0583 0.3088 0.3425 (multiplicity 2)
Ti: 0.1788 0.8256 0.0654 (multiplicity 2)
Ti: 0.4224 0.4044 0.7688 (multiplicity 2)
Hg: 0.5000 0.0000 0.5000 (multiplicity 1)
O: 0.0000 0.5000 0.0000 (multiplicity 1)

A relaxed structure of Sc3ZnAs. Source: Alexandria, functional PBE-GGA.

Computed properties:
Calculated formation energy = -0.26 eV per atom
Crystal system = cubic
Energy above the most stable polymorph in this dataset = 0.0 meV per atom

a = 5.0097 Å, b = 5.0097 Å, c = 5.0097 Å
α = 90.00°, β = 90.00°, γ = 90.00°
Space group Pm-3m (No. 221)
Unique sites:
Sc: 0.0000 0.0000 0.5000 (multiplicity 3)
Zn: 0.5000 0.5000 0.5000 (multiplicity 1)
As: 0.0000 0.0000 0.0000 (multiplicity 1)

A relaxed structure of Nd2MgBeIr2. Source: Alexandria, functional PBE-GGA.

Computed properties:
Calculated formation energy = -0.50 eV per atom
Crystal system = orthorhombic

a = 7.4647 Å, b = 11.5316 Å, c = 5.9629 Å
α = 90.00°, β = 90.00°, γ = 90.00°
Space group Ibam (No. 72)
Unique sites:
Nd: 0.1712 0.1801 0.0000 (multiplicity 8)
Mg: 0.0000 0.5000 0.2500 (multiplicity 4)
Be: 0.0000 0.0000 0.2500 (multiplicity 4)
Ir: 0.2067 0.0816 0.5000 (multiplicity 8)

A relaxed structure of Cd6HgBi2. Source: Alexandria, functional PBE-GGA.

Computed properties:
Calculated formation energy = 0.04 eV per atom
Crystal system = tetragonal

a = 9.8371 Å, b = 9.8371 Å, c = 4.7317 Å
α = 90.00°, β = 90.00°, γ = 90.00°
Space group P4_2/mnm (No. 136)
Unique sites:
Cd: 0.0117 0.3424 0.0000 (multiplicity 8)
Cd: 0.1569 0.8431 0.5000 (multiplicity 4)
Hg: 0.0000 0.0000 0.0000 (multiplicity 2)
Bi: 0.1794 0.1794 0.5000 (multiplicity 4)

A relaxed structure of AgHg2As. Source: Alexandria, functional PBE-GGA.

Computed properties:
Calculated formation energy = 0.22 eV per atom
Crystal system = monoclinic

a = 6.1491 Å, b = 9.9728 Å, c = 2.9373 Å
α = 90.00°, β = 90.24°, γ = 90.00°
Space group C2/m (No. 12)
Unique sites:
Ag: 0.0000 0.0000 0.0000 (multiplicity 2)
Hg: 0.2500 0.2500 0.0000 (multiplicity 4)
As: 0.0000 0.5000 0.0000 (multiplicity 2)

A relaxed structure of CaZnRu2. Source: Alexandria, functional PBE-GGA.

Computed properties:
Calculated formation energy = 0.41 eV per atom
Crystal system = tetragonal

a = 4.2086 Å, b = 4.2086 Å, c = 18.5463 Å
α = 90.00°, β = 90.00°, γ = 90.00°
Space group I-42d (No. 122)
Unique sites:
Ca: 0.0000 0.0000 0.0000 (multiplicity 4)
Zn: 0.0000 0.0000 0.5000 (multiplicity 4)
Ru: 0.1290 0.2500 0.6250 (multiplicity 8)

A relaxed structure of Li2HgC. Source: Alexandria, functional PBE-GGA.

Computed properties:
Calculated formation energy = 0.52 eV per atom
Crystal system = tetragonal
Energy above the most stable polymorph in this dataset = 0.0 meV per atom

a = 8.6654 Å, b = 8.6654 Å, c = 4.1356 Å
α = 90.00°, β = 90.00°, γ = 90.00°
Space group I-42d (No. 122)
Unique sites:
Li: 0.0033 0.2500 0.1250 (multiplicity 8)
Hg: 0.0000 0.0000 0.5000 (multiplicity 4)
C: 0.0000 0.0000 0.0000 (multiplicity 4)

A relaxed structure of PrErPu2Sb4. Source: Alexandria, functional PBE-GGA.

Computed properties:
Raw formation energy = -0.84 eV/atom
Crystal system = monoclinic

a = 7.6720 Å, b = 4.4521 Å, c = 7.7062 Å
α = 90.00°, β = 109.50°, γ = 90.00°
Space group P2/m (No. 10)
Unique sites:
Pr: 0.0000 0.0000 0.0000 (multiplicity 1)
Er: 0.0000 0.5000 0.5000 (multiplicity 1)
Pu: 0.5000 0.0000 0.5000 (multiplicity 1)
Pu: 0.5000 0.5000 0.0000 (multiplicity 1)
Sb: 0.2504 0.0000 0.7441 (multiplicity 2)
Sb: 0.2553 0.5000 0.2585 (multiplicity 2)

A relaxed structure of PmPr4Se5. Source: Alexandria, functional PBE-GGA.

Computed properties:
Raw formation energy = -1.84 eV/atom
Crystal system = tetragonal

a = 4.2469 Å, b = 4.2469 Å, c = 30.1500 Å
α = 90.00°, β = 90.00°, γ = 90.00°
Space group I4/mmm (No. 139)
Unique sites:
Pm: 0.0000 0.0000 0.0000 (multiplicity 2)
Pr: 0.0000 0.0000 0.1970 (multiplicity 4)
Pr: 0.0000 0.0000 0.3987 (multiplicity 4)
Se: 0.0000 0.0000 0.0978 (multiplicity 4)
Se: 0.0000 0.0000 0.2982 (multiplicity 4)
Se: 0.0000 0.0000 0.5000 (multiplicity 2)

A relaxed structure of Pa3Be2Ga4. Source: Alexandria, functional PBE-GGA.

Computed properties:
Calculated formation energy = -0.23 eV per atom
Crystal system = monoclinic

a = 10.7978 Å, b = 4.1078 Å, c = 8.2936 Å
α = 90.00°, β = 113.70°, γ = 90.00°
Space group C2/m (No. 12)
Unique sites:
Pa: 0.0000 0.0000 0.0000 (multiplicity 2)
Pa: 0.1040 0.5000 0.6618 (multiplicity 4)
Be: 0.1692 0.5000 0.3060 (multiplicity 4)
Ga: 0.1235 0.0000 0.4042 (multiplicity 4)
Ga: 0.2243 0.5000 0.0676 (multiplicity 4)

Number 1: uncorrected energy -2.6012 eV per atom, size of the total moment 0.00 μB/f.u.. Number 2: uncorrected energy -7.2278 eV per atom, size of the total moment 0.00 μB/f.u.. Number 3: uncorrected energy -5.2436 eV per atom, size of the total moment 0.00 μB/f.u.. Number 4: uncorrected energy -5.9317 eV per atom, size of the total moment 0.00 μB/f.u.. Number 5: uncorrected energy -1.4625 eV per atom, size of the total moment 0.00 μB/f.u.. Number 6: uncorrected energy -1.8096 eV per atom, size of the total moment 0.00 μB/f.u.. Number 7: uncorrected energy -5.0488 eV per atom, size of the total moment 0.00 μB/f.u.. Number 8: uncorrected energy -2.8195 eV per atom, size of the total moment 0.00 μB/f.u.. Number 9: uncorrected energy -7.6545 eV per atom, size of the total moment 0.06 μB/f.u.. Number 10: uncorrected energy -5.9692 eV per atom, size of the total moment 0.00 μB/f.u.. Number 11: uncorrected energy -5.5668 eV per atom, size of the total moment 0.80 μB/f.u..